No. 1
VASP calculation (GGA-PBE) on a relaxed structure of Ba2HoNpO6.

Results
formation energy without anion corrections = -3.119 eV/atom

Cell: 6.1942 6.1944 8.7602 Å, 90.00 90.00 90.00°
Closest atoms and distances in Å follow each position.
Fractional coordinates of all 20 atoms:
Ba 0.5000 0.7501 0.2501  12 O 3.10
Ba 0.0000 0.2499 0.7501  12 O 3.10
Ba 0.5000 0.7501 0.7499  12 O 3.10
Ba 0.0000 0.2499 0.2499  12 O 3.10
Ho 0.0000 0.7498 0.5000  6 O 2.24
Ho 0.5000 0.2502 0.0000  6 O 2.24
Np 0.5000 0.2498 0.5000  6 O 2.14
Np 0.0000 0.7502 0.0000  6 O 2.14
O 0.5000 0.2497 0.2555  1 Np 2.14, 1 Ho 2.24
O 0.5000 0.2497 0.7445  1 Np 2.14, 1 Ho 2.24
O 0.0000 0.7503 0.2445  1 Np 2.14, 1 Ho 2.24
O 0.0000 0.7503 0.7555  1 Np 2.14, 1 Ho 2.24
O 0.2556 0.0052 0.5000  1 Np 2.14, 1 Ho 2.24
O 0.7444 0.0052 0.5000  1 Np 2.14, 1 Ho 2.24
O 0.2554 0.4943 0.5000  1 Np 2.14, 1 Ho 2.24
O 0.7446 0.4943 0.5000  1 Np 2.14, 1 Ho 2.24
O 0.7554 0.5057 0.0000  1 Np 2.14, 1 Ho 2.24
O 0.2446 0.5057 0.0000  1 Np 2.14, 1 Ho 2.24
O 0.2444 0.9948 0.0000  1 Np 2.14, 1 Ho 2.24
O 0.7556 0.9948 0.0000  1 Np 2.14, 1 Ho 2.24



No. 2
VASP calculation (GGA-PBE) on a relaxed structure of MnZnSn.

Results
energy of formation = 0.156 eV/atom

Cell: 4.3885 4.3885 4.3885 Å, 60.00 60.00 60.00°
Closest atoms and distances in Å follow each position.
Fractional coordinates of all 3 atoms:
Zn 0.0000 0.0000 0.0000  4 Mn 2.69
Mn 0.2500 0.2500 0.2500  4 Sn 2.69, 4 Zn 2.69
Sn 0.5000 0.5000 0.5000  4 Mn 2.69



No. 3
VASP calculation (GGA-PBE) on a relaxed structure of TlC.

Results
energy above the lowest structure with this stoichiometry = 400.8 meV/atom
energy of formation = 1.185 eV/atom

Cell: 5.6184 5.6184 6.8142 Å, 90.00 90.00 120.00°
Closest atoms and distances in Å follow each position.
Fractional coordinates of all 8 atoms:
Tl 0.0000 0.0000 0.2500  5 Tl 3.24-3.41, 6 C 3.31
Tl 0.0000 0.0000 0.7500  5 Tl 3.24-3.41, 6 C 3.31
Tl 0.3333 0.6667 0.7500  2 C 2.77
Tl 0.6667 0.3333 0.2500  2 C 2.77
C 0.3333 0.6667 0.1565  1 C 1.27
C 0.6667 0.3333 0.6565  1 C 1.27
C 0.6667 0.3333 0.8435  1 C 1.27
C 0.3333 0.6667 0.3435  1 C 1.27



No. 4
VASP calculation (GGA-PBE) on a relaxed structure of CaScTl.

Results
energy above the lowest structure with this stoichiometry = 62.8 meV/atom
energy of formation = -0.224 eV/atom

Cell: 6.1370 6.1370 6.1693 Å, 59.83 120.17 94.60°
Closest atoms and distances in Å follow each position.
Fractional coordinates of all 6 atoms:
Sc 0.6915 0.1577 0.8601  4 Tl 3.07, 2 Sc 3.08
Sc 0.6916 0.1579 0.3601  4 Tl 3.07, 2 Sc 3.08
Ca 0.3133 0.7794 0.6100  6 Tl 3.50-3.66, 6 Sc 3.51-3.77, 4 Ca 3.69-3.92
Ca 0.0700 0.5362 0.1100  6 Tl 3.50-3.66, 6 Sc 3.51-3.77, 4 Ca 3.69-3.92
Tl 0.1916 0.1578 0.8601  4 Sc 3.07, 2 Tl 3.29
Tl 0.6916 0.6578 0.3602  4 Sc 3.07, 2 Tl 3.29